Entry 1:
Crystalline GdHoAsO at its relaxed geometry. Source: the Open Quantum Materials Database, functional PBE-GGA.

a b c (Å): 4.344 4.344 8.812
angles (deg): 90.00 90.00 90.00
Fractional coordinates of all 8 atoms:
Gd 0.250 0.250 0.103
Gd 0.750 0.750 0.897
Ho 0.250 0.750 0.500
Ho 0.750 0.250 0.500
As 0.250 0.250 0.703
As 0.750 0.750 0.297
O 0.250 0.750 0.000
O 0.750 0.250 0.000

Calculated values
Raw total energy in eV per cell: -52.918
Offset from the most stable computed form in meV/atom: 72
Space-group type: P4/nmm, No. 129
Crystal system: tetragonal

Entry 2:
Crystalline GdHoAsO at its relaxed geometry. Source: the Open Quantum Materials Database, functional PBE-GGA.

a b c (Å): 4.190 7.548 5.980
angles (deg): 90.00 90.00 90.00
Fractional coordinates of all 8 atoms:
Gd 0.000 0.208 0.000
Gd 0.000 0.792 0.500
Ho 0.500 0.389 0.577
Ho 0.500 0.611 0.077
As 0.000 0.166 0.490
As 0.000 0.834 0.990
O 0.500 0.332 0.937
O 0.500 0.668 0.437

Calculated values
Raw total energy in eV per cell: -53.492
Offset from the most stable computed form in meV/atom: 0
Space-group type: Pmc2_1, No. 26
Crystal system: orthorhombic

Entry 3:
Crystalline GdHoAsO at its relaxed geometry. Source: the Open Quantum Materials Database, functional PBE-GGA.

a b c (Å): 4.146 7.745 5.810
angles (deg): 90.00 90.00 90.00
Fractional coordinates of all 8 atoms:
Gd 0.000 0.118 0.000
Gd 0.000 0.882 0.500
Ho 0.500 0.287 0.440
Ho 0.500 0.713 0.940
As 0.500 0.350 0.932
As 0.500 0.650 0.432
O 0.000 0.174 0.385
O 0.000 0.826 0.885

Calculated values
Raw total energy in eV per cell: -53.302
Offset from the most stable computed form in meV/atom: 24
Space-group type: Pmc2_1, No. 26
Crystal system: orthorhombic

Entry 4:
Crystalline GdHoZn2As2O2 at its relaxed geometry. Source: the Open Quantum Materials Database, functional PBE-GGA.

a b c (Å): 3.955 3.955 8.907
angles (deg): 90.00 90.00 90.00
Fractional coordinates of all 8 atoms:
Gd 0.000 0.000 0.000
Ho 0.500 0.500 0.247
Zn 0.000 0.500 0.625
Zn 0.500 0.000 0.625
As 0.000 0.000 0.442
As 0.500 0.500 0.809
O 0.000 0.500 0.128
O 0.500 0.000 0.128

Calculated values
Raw total energy in eV per cell: -45.624
Space-group type: P4mm, No. 99
Crystal system: tetragonal